# Ac2Pr2In3 GGA-PBE optimized geometry
# Energy above the lowest structure with this stoichiometry: 0.013 eV per atom
# Formation energy: -291.5 meV per atom
# Calculated total energy: -28.03 eV for the cell shown
data_Ac2Pr2In3
_space_group_name_H-M_alt 'P -1'
_space_group_IT_number 2
_cell_length_a 3.8495
_cell_length_b 8.1633
_cell_length_c 8.3161
_cell_angle_alpha 108.05
_cell_angle_beta 103.38
_cell_angle_gamma 90.03
loop_
_space_group_symop_operation_xyz
'x,y,z'
'-x,-y,-z'
loop_
_atom_site_label
_atom_site_type_symbol
_atom_site_fract_x
_atom_site_fract_y
_atom_site_fract_z
Ac1 Ac 0.2030 0.1971 0.4074
Pr1 Pr 0.0714 0.7355 0.1430
In1 In 0.3930 0.5642 0.7860
In2 In 0.5000 0.0000 0.0000